No. 1
Here is SiNi2Ge after structural relaxation from the Open Quantum Materials Database. Energies are from PBE.

Lattice parameters (Å, degrees): 3.4716 5.6878 5.2330 90.00 90.00 90.00
With the nearest neighbours (Å) after each atom.
Fractional coordinates of all 8 atoms:
Ge1 0.0000 0.1614 0.1816  6 Ni 2.35-2.45
Ge2 0.0000 0.8386 0.6816  6 Ni 2.35-2.45
Ni1 0.0000 0.5579 0.0103  2 Ge 2.35-2.43, 4 Si 2.37-2.42
Ni2 0.5000 0.0653 0.4947  2 Si 2.29-2.50, 4 Ge 2.37-2.45
Ni3 0.0000 0.4421 0.5103  2 Ge 2.35-2.43, 4 Si 2.37-2.42
Ni4 0.5000 0.9347 0.9947  2 Si 2.29-2.50, 4 Ge 2.37-2.45
Si1 0.5000 0.6590 0.3133  6 Ni 2.29-2.50
Si2 0.5000 0.3410 0.8133  6 Ni 2.29-2.50

Summary:
Magnetic moment: 0.00 μB/cell
V: 12.92 Å³/atom
Crystal system: orthorhombic
Raw total energy: -45.472 eV per cell
Symmetry: No. 26

---

No. 2
Here is CuPd3S6 after structural relaxation from the Open Quantum Materials Database. Energies are from PBE.

Lattice parameters (Å, degrees): 7.2628 7.2628 3.6530 90.00 90.00 106.26
With the nearest neighbours (Å) after each atom.
Fractional coordinates of all 10 atoms:
Cu1 0.0000 0.0000 0.0000  4 S 2.47
Pd1 0.5000 0.5000 0.0000  4 S 2.30
Pd2 0.5000 0.0000 0.5000  6 S 2.38-2.51
Pd3 0.0000 0.5000 0.5000  6 S 2.38-2.51
S1 0.4168 0.1702 0.0000  3 Pd 2.30-2.38
S2 0.1702 0.4168 0.0000  3 Pd 2.30-2.38
S3 0.8298 0.5832 0.0000  3 Pd 2.30-2.38
S4 0.5832 0.8298 0.0000  3 Pd 2.30-2.38
S5 0.8571 0.1429 0.5000  2 Cu 2.47, 2 Pd 2.51
S6 0.1429 0.8571 0.5000  2 Cu 2.47, 2 Pd 2.51

Summary:
V: 18.50 Å³/atom
Crystal system: orthorhombic
Raw total energy: -44.877 eV per cell
Symmetry: No. 65

---

No. 3
Here is KNb5O13 after structural relaxation from the Open Quantum Materials Database. Energies are from PBE.

Lattice parameters (Å, degrees): 5.6906 10.7892 16.7324 90.00 90.00 90.00
With the nearest neighbours (Å) after each atom.
Fractional coordinates of all 76 atoms:
K1 0.2868 0.1732 0.2500  7 O 2.66-2.94
K2 0.7132 0.6732 0.2500  7 O 2.66-2.94
K3 0.2868 0.3268 0.7500  7 O 2.66-2.94
K4 0.7132 0.8268 0.7500  7 O 2.66-2.94
Nb1 0.1785 0.2500 0.0000  4 O 1.92-1.93
Nb2 0.8215 0.7500 0.0000  4 O 1.92-1.93
Nb3 0.6673 0.0642 0.0787  4 O 1.87-1.99
Nb4 0.3327 0.5642 0.0787  4 O 1.87-1.99
Nb5 0.8397 0.3658 0.1370  6 O 1.92-2.09
Nb6 0.1603 0.8658 0.1370  6 O 1.92-2.09
Nb7 0.8397 0.3658 0.3630  6 O 1.92-2.09
Nb8 0.1603 0.8658 0.3630  6 O 1.92-2.09
Nb9 0.6673 0.0642 0.4213  4 O 1.87-1.99
Nb10 0.3327 0.5642 0.4213  4 O 1.87-1.99
Nb11 0.1785 0.2500 0.5000  4 O 1.92-1.93
Nb12 0.8215 0.7500 0.5000  4 O 1.92-1.93
Nb13 0.6673 0.4358 0.5787  4 O 1.87-1.99
Nb14 0.3327 0.9358 0.5787  4 O 1.87-1.99
Nb15 0.8397 0.1342 0.6370  6 O 1.92-2.09
Nb16 0.1603 0.6342 0.6370  6 O 1.92-2.09
Nb17 0.8397 0.1342 0.8630  6 O 1.92-2.09
Nb18 0.1603 0.6342 0.8630  6 O 1.92-2.09
Nb19 0.6673 0.4358 0.9213  4 O 1.87-1.99
Nb20 0.3327 0.9358 0.9213  4 O 1.87-1.99
O1 0.3736 0.3953 0.0055  1 Nb 1.92
O2 0.6264 0.8953 0.0055  1 Nb 1.92
O3 0.8615 0.3770 0.0126  2 Nb 1.99-2.09
O4 0.1385 0.8770 0.0126  2 Nb 1.99-2.09
O5 0.0967 0.2440 0.1119  2 Nb 1.93-2.01
O6 0.9033 0.7440 0.1119  2 Nb 1.93-2.01
O7 0.6177 0.2202 0.1273  2 Nb 1.89-2.02
O8 0.3823 0.7203 0.1273  2 Nb 1.89-2.02
O9 0.5903 0.4853 0.1406  2 Nb 1.92-1.99
O10 0.4097 0.9853 0.1406  2 Nb 1.92-1.99
O11 0.0911 0.4972 0.1412  2 Nb 1.87-2.02
O12 0.9088 0.9972 0.1412  2 Nb 1.87-2.02
O13 0.8735 0.3367 0.2500  2 Nb 1.93
O14 0.1265 0.8367 0.2500  2 Nb 1.93
O15 0.0911 0.4972 0.3588  2 Nb 1.87-2.02
O16 0.9088 0.9972 0.3588  2 Nb 1.87-2.02
O17 0.5903 0.4853 0.3594  2 Nb 1.92-1.99
O18 0.4097 0.9853 0.3594  2 Nb 1.92-1.99
O19 0.6177 0.2202 0.3727  2 Nb 1.89-2.02
O20 0.3823 0.7203 0.3727  2 Nb 1.89-2.02
O21 0.0967 0.2440 0.3881  2 Nb 1.93-2.01
O22 0.9033 0.7440 0.3881  2 Nb 1.93-2.01
O23 0.8615 0.3770 0.4874  2 Nb 1.99-2.09
O24 0.1385 0.8770 0.4874  2 Nb 1.99-2.09
O25 0.3736 0.3953 0.4945  1 Nb 1.92
O26 0.6264 0.8953 0.4945  1 Nb 1.92
O27 0.3736 0.1047 0.5055  1 Nb 1.92
O28 0.6264 0.6047 0.5055  1 Nb 1.92
O29 0.8615 0.1230 0.5126  2 Nb 1.99-2.09
O30 0.1385 0.6230 0.5126  2 Nb 1.99-2.09
O31 0.0967 0.2560 0.6119  2 Nb 1.93-2.01
O32 0.9033 0.7560 0.6119  2 Nb 1.93-2.01
O33 0.6177 0.2797 0.6273  2 Nb 1.89-2.02
O34 0.3823 0.7797 0.6273  2 Nb 1.89-2.02
O35 0.5903 0.0147 0.6406  2 Nb 1.92-1.99
O36 0.4097 0.5147 0.6406  2 Nb 1.92-1.99
O37 0.0911 0.0028 0.6412  2 Nb 1.87-2.02
O38 0.9088 0.5028 0.6412  2 Nb 1.87-2.02
O39 0.8735 0.1633 0.7500  2 Nb 1.93
O40 0.1265 0.6633 0.7500  2 Nb 1.93
O41 0.0911 0.0028 0.8588  2 Nb 1.87-2.02
O42 0.9088 0.5028 0.8588  2 Nb 1.87-2.02
O43 0.5903 0.0147 0.8594  2 Nb 1.92-1.99
O44 0.4097 0.5147 0.8594  2 Nb 1.92-1.99
O45 0.6177 0.2797 0.8727  2 Nb 1.89-2.02
O46 0.3823 0.7797 0.8727  2 Nb 1.89-2.02
O47 0.0967 0.2560 0.8881  2 Nb 1.93-2.01
O48 0.9033 0.7560 0.8881  2 Nb 1.93-2.01
O49 0.8615 0.1230 0.9874  2 Nb 1.99-2.09
O50 0.1385 0.6230 0.9874  2 Nb 1.99-2.09
O51 0.3736 0.1047 0.9945  1 Nb 1.92
O52 0.6264 0.6047 0.9945  1 Nb 1.92

Summary:
Magnetic moment: 0.00 μB/cell
V: 13.52 Å³/atom
Crystal system: orthorhombic
Raw total energy: -655.095 eV per cell
Symmetry: No. 57

---

No. 4
Here is TlAgSnSe3 after structural relaxation from the Open Quantum Materials Database. Energies are from PBE.

Lattice parameters (Å, degrees): 11.8372 4.0176 13.2985 90.00 90.00 90.00
With the nearest neighbours (Å) after each atom.
Fractional coordinates of all 24 atoms:
Ag1 0.7468 0.2500 0.1694  4 Se 2.63-2.77
Ag2 0.2468 0.2500 0.3306  4 Se 2.63-2.77
Ag3 0.7532 0.7500 0.6694  4 Se 2.63-2.77
Ag4 0.2532 0.7500 0.8306  4 Se 2.63-2.77
Se1 0.9528 0.2500 0.0949  1 Ag 2.63, 2 Sn 2.75
Se2 0.5202 0.2500 0.1322  1 Ag 2.73, 2 Sn 2.78
Se3 0.2353 0.7500 0.1880  1 Sn 2.61, 2 Ag 2.77
Se4 0.7353 0.7500 0.3120  1 Sn 2.61, 2 Ag 2.77
Se5 0.0202 0.2500 0.3678  1 Ag 2.73, 2 Sn 2.78
Se6 0.4528 0.2500 0.4051  1 Ag 2.63, 2 Sn 2.75
Se7 0.5472 0.7500 0.5949  1 Ag 2.63, 2 Sn 2.75
Se8 0.9798 0.7500 0.6322  1 Ag 2.73, 2 Sn 2.78
Se9 0.2647 0.2500 0.6880  1 Sn 2.61, 2 Ag 2.77
Se10 0.7647 0.2500 0.8120  1 Sn 2.61, 2 Ag 2.77
Se11 0.4798 0.7500 0.8678  1 Ag 2.73, 2 Sn 2.78
Se12 0.0472 0.7500 0.9051  1 Ag 2.63, 2 Sn 2.75
Sn1 0.0181 0.7500 0.2232  5 Se 2.61-2.78
Sn2 0.5181 0.7500 0.2768  5 Se 2.61-2.78
Sn3 0.4819 0.2500 0.7232  5 Se 2.61-2.78
Sn4 0.9819 0.2500 0.7768  5 Se 2.61-2.78
Tl1 0.2780 0.2500 0.0156  3 Se 3.09-3.26, 2 Ag 3.19
Tl2 0.7780 0.2500 0.4844  3 Se 3.09-3.26, 2 Ag 3.19
Tl3 0.2220 0.7500 0.5156  3 Se 3.09-3.26, 2 Ag 3.19
Tl4 0.7220 0.7500 0.9844  3 Se 3.09-3.26, 2 Ag 3.19

Summary:
V: 26.35 Å³/atom
Crystal system: orthorhombic
Raw total energy: -85.133 eV per cell
Offset from the most stable computed form: 0.10 eV per formula unit
Symmetry: No. 62

---

No. 5
Here is LiPrNp after structural relaxation from the Open Quantum Materials Database. Energies are from PBE.

Lattice parameters (Å, degrees): 4.9575 4.9575 4.9575 60.00 60.00 60.00
With the nearest neighbours (Å) after each atom.
Fractional coordinates of all 3 atoms:
Li1 0.0000 0.0000 0.0000  4 Np 3.04, 4 Pr 3.04
Np1 0.2500 0.2500 0.2500  4 Li 3.04
Pr1 0.7500 0.7500 0.7500  4 Li 3.04

Summary:
Magnetic moment: 6.11 μB/cell
V: 28.72 Å³/atom
Crystal system: cubic
Raw total energy: -16.582 eV per cell
Offset from the most stable computed form: 0.00 eV per formula unit
Symmetry: No. 216

---

No. 6
Here is Be2FeAs after structural relaxation from the Open Quantum Materials Database. Energies are from PBE.

Lattice parameters (Å, degrees): 3.8827 3.8827 3.8827 60.00 60.00 60.00
With the nearest neighbours (Å) after each atom.
Fractional coordinates of all 4 atoms:
As1 0.0000 0.0000 0.0000  4 Fe 2.38, 4 Be 2.38
Be1 0.5000 0.5000 0.5000  4 Be 2.38, 4 Fe 2.38
Be2 0.7500 0.7500 0.7500  4 Be 2.38, 4 As 2.38
Fe1 0.2500 0.2500 0.2500  4 As 2.38, 4 Be 2.38

Summary:
Magnetic moment: 0.02 μB/cell
V: 10.35 Å³/atom
Crystal system: cubic
Raw total energy: -19.427 eV per cell
Symmetry: No. 216

---

No. 7
Here is Ag2Bi2O5 after structural relaxation from the Open Quantum Materials Database. Energies are from PBE.

Lattice parameters (Å, degrees): 7.0906 4.1872 4.1872 90.00 90.00 90.00
With the nearest neighbours (Å) after each atom.
Fractional coordinates of all 9 atoms:
Ag1 0.1972 0.5000 0.5000  5 O 2.10-2.15
Ag2 0.8028 0.5000 0.5000  5 O 2.10-2.15
Bi1 0.0000 0.0000 0.0000  8 O 2.59
Bi2 0.5000 0.0000 0.0000  12 O 2.91-2.96
O1 0.2146 0.5000 0.0000  2 Ag 2.10
O2 0.7854 0.5000 0.0000  2 Ag 2.10
O3 0.2146 0.0000 0.5000  2 Ag 2.10
O4 0.7854 0.0000 0.5000  2 Ag 2.10
O5 0.5000 0.5000 0.5000  2 Ag 2.15

Summary:
V: 13.81 Å³/atom
Crystal system: tetragonal
Raw total energy: -41.010 eV per cell
Offset from the most stable computed form: 1.52 eV per formula unit
Symmetry: No. 123

---

No. 8
Here is ThBeTe after structural relaxation from the Open Quantum Materials Database. Energies are from PBE.

Lattice parameters (Å, degrees): 4.9892 4.9892 4.9892 60.00 60.00 60.00
With the nearest neighbours (Å) after each atom.
Fractional coordinates of all 3 atoms:
Be1 0.2500 0.2500 0.2500  4 Te 3.06
Te1 0.0000 0.0000 0.0000  4 Be 3.06, 4 Th 3.06
Th1 0.7500 0.7500 0.7500  4 Te 3.06

Summary:
Magnetic moment: 0.00 μB/cell
V: 29.27 Å³/atom
Crystal system: cubic
Raw total energy: -13.231 eV per cell
Offset from the most stable computed form: 1.00 eV per formula unit
Symmetry: No. 216

---

No. 9
Here is NbInAgTe2S after structural relaxation from the Open Quantum Materials Database. Energies are from PBE.

Lattice parameters (Å, degrees): 7.7080 7.7080 10.1282 90.00 90.00 150.38
With the nearest neighbours (Å) after each atom.
Fractional coordinates of all 12 atoms:
Ag1 0.4698 0.5302 0.2500  2 S 2.48, 2 Te 2.71
Ag2 0.5302 0.4698 0.7500  2 S 2.48, 2 Te 2.71
In1 0.7295 0.2705 0.2500  2 S 3.08, 2 Te 3.20
In2 0.2705 0.7295 0.7500  2 S 3.08, 2 Te 3.20
Nb1 0.0000 0.0000 0.0000  2 S 2.74, 4 Te 2.90
Nb2 0.0000 0.0000 0.5000  2 S 2.74, 4 Te 2.90
S1 0.0706 0.9294 0.2500  2 Ag 2.48, 2 Nb 2.74
S2 0.9294 0.0706 0.7500  2 Ag 2.48, 2 Nb 2.74
Te1 0.3597 0.6403 0.0375  1 Ag 2.71, 2 Nb 2.90
Te2 0.3597 0.6403 0.4625  1 Ag 2.71, 2 Nb 2.90
Te3 0.6403 0.3597 0.5375  1 Ag 2.71, 2 Nb 2.90
Te4 0.6403 0.3597 0.9625  1 Ag 2.71, 2 Nb 2.90

Summary:
Magnetic moment: 1.76 μB/cell
V: 24.78 Å³/atom
Crystal system: orthorhombic
Raw total energy: -54.779 eV per cell
Symmetry: No. 63

---

No. 10
Here is HoPa after structural relaxation from the Open Quantum Materials Database. Energies are from PBE.

Lattice parameters (Å, degrees): 3.2977 3.2977 5.7659 90.00 90.00 120.00
With the nearest neighbours (Å) after each atom.
Fractional coordinates of all 2 atoms:
Ho1 0.6667 0.3333 0.7500  6 Ho 3.30, 6 Pa 3.45
Pa1 0.3333 0.6667 0.2500  6 Pa 3.30, 6 Ho 3.45

Summary:
Magnetic moment: 0.02 μB/cell
V: 27.15 Å³/atom
Crystal system: hexagonal
Formation enthalpy at 0 K: 0.171 eV per atom
Raw total energy: -13.730 eV per cell
Offset from the most stable computed form: 0.00 eV per formula unit
Symmetry: No. 187

---

No. 11
Here is AlGeW after structural relaxation from the Open Quantum Materials Database. Energies are from PBE.

Lattice parameters (Å, degrees): 4.2140 4.2140 4.2140 60.00 60.00 60.00
With the nearest neighbours (Å) after each atom.
Fractional coordinates of all 3 atoms:
Al1 0.2500 0.2500 0.2500  4 Ge 2.58
Ge1 0.0000 0.0000 0.0000  4 W 2.58, 4 Al 2.58
W1 0.7500 0.7500 0.7500  4 Ge 2.58

Summary:
Magnetic moment: 0.53 μB/cell
V: 17.64 Å³/atom
Crystal system: cubic
Raw total energy: -19.317 eV per cell
Offset from the most stable computed form: 2.24 eV per formula unit
Symmetry: No. 216

---

No. 12
Here is PrPb after structural relaxation from the Open Quantum Materials Database. Energies are from PBE.

Lattice parameters (Å, degrees): 3.6607 3.6621 5.4871 90.00 90.00 119.99
With the nearest neighbours (Å) after each atom.
Fractional coordinates of all 2 atoms:
Pb1 0.6666 0.3332 0.7500  6 Pr 3.46, 6 Pb 3.66
Pr1 0.3334 0.6668 0.2500  6 Pb 3.46, 6 Pr 3.66

Summary:
Magnetic moment: 0.13 μB/cell
V: 31.86 Å³/atom
Crystal system: hexagonal
Raw total energy: -9.180 eV per cell
Symmetry: No. 187